Version i
VASP calculation (GGA-PBE) on a geometry-optimized LiTaCd structure.

a = 3.1918 Å, b = 4.4833 Å, c = 7.7820 Å
α = 106.56°, β = 90.00°, γ = 90.00°
Sites, in units of the cell vectors:
Cd1 0.6390 0.4104 0.9501
Cd2 0.6390 0.0722 0.2673
Ta1 0.6390 0.7409 0.6087
Ta2 0.1390 0.2409 0.6088
Li1 0.1390 0.5739 0.2709
Li2 0.1390 0.9086 0.9465

Results
M_tot	0.00	μB per formula unit



Version ii
VASP calculation (GGA-PBE) on a geometry-optimized LiTaCd structure.

a = 7.6734 Å, b = 5.4775 Å, c = 4.9598 Å
α = 90.00°, β = 90.00°, γ = 90.00°
Sites, in units of the cell vectors:
Cd1 0.0000 0.0000 0.0000
Cd2 0.5000 0.5000 0.5000
Cd3 0.5000 0.0000 0.5000
Cd4 0.0000 0.5000 0.0000
Li1 0.7080 0.2500 0.0005
Li2 0.7920 0.7500 0.5005
Li3 0.2920 0.7500 0.9995
Li4 0.2080 0.2500 0.4995
Ta1 0.3765 0.2500 0.9998
Ta2 0.1235 0.7500 0.4998
Ta3 0.6235 0.7500 0.0002
Ta4 0.8765 0.2500 0.5002

Results
M_tot	0.00	μB per formula unit



Version iii
VASP calculation (GGA-PBE) on a geometry-optimized LiTaCd structure.

a = 2.9828 Å, b = 5.0980 Å, c = 7.6436 Å
α = 89.98°, β = 101.35°, γ = 90.00°
Sites, in units of the cell vectors:
Cd1 0.8275 0.5163 0.2178
Cd2 0.6148 0.0166 0.7951
Ta1 0.1494 0.5165 0.8647
Ta2 0.5007 0.5167 0.5639
Li1 0.2854 0.0163 0.1331
Li2 0.9562 0.0168 0.4783

Results
M_tot	0.00	μB per formula unit



Version iv
VASP calculation (GGA-PBE) on a geometry-optimized LiTaCd structure.

a = 3.7791 Å, b = 3.7791 Å, c = 7.5900 Å
α = 90.00°, β = 90.00°, γ = 90.00°
Sites, in units of the cell vectors:
Cd1 0.0000 0.0000 0.5000
Cd2 0.5000 0.5000 0.5000
Li1 0.0000 0.5000 0.2522
Li2 0.5000 0.0000 0.7478
Ta1 0.0000 0.5000 0.9142
Ta2 0.5000 0.0000 0.0858

Results
M_tot	0.00	μB per formula unit



Ranked by calculated energy, most stable first: version i, version iii, version iv, version ii.



Version i
VASP calculation (GGA-PBE) on a geometry-optimized LiTaCd structure.

a = 2.9025 Å, b = 5.3449 Å, c = 7.6030 Å
α = 75.39°, β = 89.99°, γ = 105.54°
Sites, in units of the cell vectors:
Cd1 0.9059 0.5875 0.9227
Cd2 0.9738 0.7282 0.2947
Ta1 0.5836 0.9415 0.5829
Ta2 0.2961 0.3742 0.6345
Li1 0.2540 0.2831 0.2468
Li2 0.6255 0.0326 0.9707

Results
M_tot	0.00	μB per formula unit



Version ii
VASP calculation (GGA-PBE) on a geometry-optimized LiTaCd structure.

a = 4.5453 Å, b = 4.5453 Å, c = 4.5453 Å
α = 60.00°, β = 60.00°, γ = 60.00°
Sites, in units of the cell vectors:
Cd1 0.7500 0.7500 0.7500
Li1 0.2500 0.2500 0.2500
Ta1 0.5000 0.5000 0.5000

Results
M_tot	0.00	μB per formula unit



Version iii
VASP calculation (GGA-PBE) on a geometry-optimized LiTaCd structure.

a = 5.9797 Å, b = 2.8424 Å, c = 7.0881 Å
α = 100.60°, β = 78.17°, γ = 104.06°
Sites, in units of the cell vectors:
Cd1 0.4112 0.4463 0.8558
Cd2 0.6394 0.2756 0.2186
Li1 0.1304 0.7148 0.2119
Li2 0.2975 0.6609 0.5258
Ta1 0.9350 0.7689 0.8660
Ta2 0.8079 0.0567 0.5710

Results
M_tot	0.00	μB per formula unit



Ranked by calculated energy, most stable first: version i, version iii, version ii.



Version i
VASP calculation (GGA-PBE) on a geometry-optimized LiTaCd structure.

a = 6.3768 Å, b = 2.8744 Å, c = 12.5608 Å
α = 90.00°, β = 90.00°, γ = 90.00°
Sites, in units of the cell vectors:
Cd1 0.8580 0.2500 0.7434
Cd2 0.6420 0.7500 0.2434
Cd3 0.1420 0.7500 0.2566
Cd4 0.3580 0.2500 0.7566
Li1 0.8846 0.2500 0.4160
Li2 0.6155 0.7500 0.9160
Li3 0.1154 0.7500 0.5840
Li4 0.3846 0.2500 0.0840
Ta1 0.4107 0.2500 0.4205
Ta2 0.0893 0.7500 0.9205
Ta3 0.5893 0.7500 0.5795
Ta4 0.9107 0.2500 0.0795

Results
M_tot	0.00	μB per formula unit



Version ii
VASP calculation (GGA-PBE) on a geometry-optimized LiTaCd structure.

a = 5.3657 Å, b = 2.8841 Å, c = 7.8741 Å
α = 79.69°, β = 80.55°, γ = 74.62°
Sites, in units of the cell vectors:
Cd1 0.5000 0.0000 0.0000
Cd2 0.0000 0.0000 0.5000
Li1 0.5012 0.3368 0.3251
Li2 0.4988 0.6632 0.6749
Ta1 0.0131 0.6690 0.1488
Ta2 0.9869 0.3310 0.8512

Results
M_tot	0.00	μB per formula unit



Ranked by calculated energy, most stable first: version i, version ii.



Version i
VASP calculation (GGA-PBE) on a geometry-optimized LiTaCd3 structure.

a = 5.4700 Å, b = 5.4700 Å, c = 5.4700 Å
α = 90.00°, β = 90.00°, γ = 90.00°
Site moments in Bohr magnetons follow the coordinates.
Sites, in units of the cell vectors:
Cd1 0.0000 0.5000 0.0000  0.07
Cd2 0.0000 0.0000 0.5000  0.04
Cd3 0.5000 0.0000 0.0000  0.08
Li1 0.5000 0.5000 0.5000  0.00
Ta1 0.0000 0.0000 0.0000  1.16

Results
M_tot	2.19	μB per formula unit



Version ii
VASP calculation (GGA-PBE) on a geometry-optimized LiTaCd3 structure.

a = 4.5590 Å, b = 4.5590 Å, c = 4.5590 Å
α = 90.00°, β = 90.00°, γ = 90.00°
Sites, in units of the cell vectors:
Cd1 0.0000 0.5000 0.0000
Cd2 0.0000 0.0000 0.5000
Cd3 0.5000 0.0000 0.0000
Li1 0.0000 0.0000 0.0000
Ta1 0.5000 0.5000 0.5000

Results
M_tot	0.00	μB per formula unit



Ranked by calculated energy, most stable first: version ii, version i.



Version i
VASP calculation (GGA-PBE) on a geometry-optimized LiTa3Cd structure.

a = 5.0331 Å, b = 5.0331 Å, c = 5.0331 Å
α = 90.00°, β = 90.00°, γ = 90.00°
Site moments in Bohr magnetons follow the coordinates.
Sites, in units of the cell vectors:
Cd1 0.0000 0.0000 0.0000  0.05
Li1 0.5000 0.5000 0.5000  0.00
Ta1 0.0000 0.5000 0.0000  0.32
Ta2 0.0000 0.0000 0.5000  0.39
Ta3 0.5000 0.0000 0.0000  0.38

Results
M_tot	1.78	μB per formula unit



Version ii
VASP calculation (GGA-PBE) on a geometry-optimized LiTa3Cd structure.

a = 4.4677 Å, b = 4.4677 Å, c = 4.4677 Å
α = 90.00°, β = 90.00°, γ = 90.00°
Sites, in units of the cell vectors:
Cd1 0.5000 0.5000 0.5000
Li1 0.0000 0.0000 0.0000
Ta1 0.0000 0.5000 0.0000
Ta2 0.0000 0.0000 0.5000
Ta3 0.5000 0.0000 0.0000

Results
M_tot	0.00	μB per formula unit



Ranked by calculated energy, most stable first: version ii, version i.



Version i
VASP calculation (GGA-PBE) on a geometry-optimized Li2Tb3Cd4 structure.

a = 5.0031 Å, b = 5.9691 Å, c = 9.3023 Å
α = 118.98°, β = 90.00°, γ = 114.78°
Sites, in units of the cell vectors:
Li1 0.6136 0.2272 0.2818
Li2 0.3864 0.7728 0.7182
Tb1 0.6654 0.3308 0.6679
Tb2 0.0000 0.0000 0.0000
Tb3 0.3346 0.6692 0.3321
Cd1 0.7177 0.4355 0.0594
Cd2 0.2823 0.5645 0.9406
Cd3 0.9373 0.8746 0.6102
Cd4 0.0627 0.1254 0.3898

Results
M_tot	0.00	μB per formula unit



Version ii
VASP calculation (GGA-PBE) on a geometry-optimized Li2Tb3Cd4 structure.

a = 5.2278 Å, b = 5.2859 Å, c = 9.1040 Å
α = 97.11°, β = 90.00°, γ = 119.64°
Sites, in units of the cell vectors:
Li1 0.7190 0.4379 0.4049
Li2 0.2810 0.5621 0.5951
Tb1 0.6301 0.2601 0.7445
Tb2 0.0000 0.0000 0.0000
Tb3 0.3699 0.7399 0.2555
Cd1 0.6848 0.3696 0.1012
Cd2 0.3152 0.6304 0.8988
Cd3 0.9484 0.8969 0.6425
Cd4 0.0516 0.1031 0.3575

Results
M_tot	0.00	μB per formula unit



Ranked by calculated energy, most stable first: version ii, version i.



Version i
VASP calculation (GGA-PBE) on a geometry-optimized LiTbCd4 structure.

a = 3.1964 Å, b = 4.9780 Å, c = 8.7083 Å
α = 89.99°, β = 89.84°, γ = 90.00°
Sites, in units of the cell vectors:
Li1 0.7515 0.9975 0.4984
Tb1 0.7512 0.4972 0.9981
Cd1 0.2501 0.9972 0.1714
Cd2 0.2524 0.9973 0.8248
Cd3 0.2547 0.4974 0.6584
Cd4 0.2478 0.4972 0.3378

Results
M_tot	0.00	μB per formula unit



Version ii
VASP calculation (GGA-PBE) on a geometry-optimized LiTbCd4 structure.

a = 5.8441 Å, b = 5.8441 Å, c = 5.8441 Å
α = 60.00°, β = 60.00°, γ = 60.00°
Sites, in units of the cell vectors:
Li1 0.2500 0.2500 0.2500
Tb1 0.0000 0.0000 0.0000
Cd1 0.6249 0.6249 0.1254
Cd2 0.6249 0.1254 0.6249
Cd3 0.6249 0.6249 0.6249
Cd4 0.1254 0.6249 0.6249

Results
M_tot	0.00	μB per formula unit



Ranked by calculated energy, most stable first: version i, version ii.



Version i
VASP calculation (GGA-PBE) on a geometry-optimized LiTbCd2 structure.

a = 3.4083 Å, b = 3.4083 Å, c = 9.8207 Å
α = 80.01°, β = 80.01°, γ = 60.00°
Sites, in units of the cell vectors:
Li1 0.6677 0.6677 0.9970
Tb1 0.4994 0.4994 0.5018
Cd1 0.0754 0.0754 0.7739
Cd2 0.2575 0.2575 0.2274

Results
M_tot	0.00	μB per formula unit



Version ii
VASP calculation (GGA-PBE) on a geometry-optimized LiTbCd2 structure.

a = 3.4546 Å, b = 3.4546 Å, c = 7.5226 Å
α = 90.00°, β = 90.00°, γ = 90.00°
Site moments in Bohr magnetons follow the coordinates.
Sites, in units of the cell vectors:
Li1 0.5000 0.5000 0.0000  0.00
Tb1 0.5000 0.5000 0.5000  0.11
Cd1 0.0000 0.0000 0.7888  0.00
Cd2 0.0000 0.0000 0.2112  0.00

Results
M_tot	0.16	μB per formula unit



Version iii
VASP calculation (GGA-PBE) on a geometry-optimized LiTbCd2 structure.

a = 3.4728 Å, b = 5.2722 Å, c = 5.2722 Å
α = 90.00°, β = 90.00°, γ = 90.00°
Sites, in units of the cell vectors:
Li1 0.5000 0.0000 0.0000
Tb1 0.5000 0.5000 0.5000
Cd1 0.0000 0.0000 0.5000
Cd2 0.0000 0.5000 0.0000

Results
M_tot	0.00	μB per formula unit



Ranked by calculated energy, most stable first: version ii, version iii, version i.



Version i
VASP calculation (GGA-PBE) on a geometry-optimized LiCd2Tc structure.

a = 2.8232 Å, b = 2.8232 Å, c = 8.8133 Å
α = 90.00°, β = 90.00°, γ = 90.00°
Site moments in Bohr magnetons follow the coordinates.
Sites, in units of the cell vectors:
Cd1 0.0000 0.0000 0.0003  0.00
Cd2 0.0000 0.0000 0.4997  0.00
Li1 0.5000 0.5000 0.2500  0.00
Tc1 0.5000 0.5000 0.7500  0.61

Results
M_tot	0.63	μB per formula unit



Version ii
VASP calculation (GGA-PBE) on a geometry-optimized LiCd2Tc structure.

a = 4.9435 Å, b = 4.9435 Å, c = 2.9018 Å
α = 89.97°, β = 89.97°, γ = 102.67°
Sites, in units of the cell vectors:
Cd1 0.0000 0.0000 0.0000
Cd2 0.5000 0.5000 0.0000
Li1 0.5000 0.0000 0.5000
Tc1 0.0000 0.5000 0.5000

Results
M_tot	0.00	μB per formula unit



Version iii
VASP calculation (GGA-PBE) on a geometry-optimized LiCd2Tc structure.

a = 2.7462 Å, b = 4.5041 Å, c = 5.7304 Å
α = 90.00°, β = 90.00°, γ = 90.00°
Sites, in units of the cell vectors:
Cd1 0.0000 0.0000 0.9683
Cd2 0.5000 0.5000 0.2691
Li1 0.0000 0.0000 0.5072
Tc1 0.5000 0.5000 0.7554

Results
M_tot	0.00	μB per formula unit



Ranked by calculated energy, most stable first: version ii, version i, version iii.



Version i
VASP calculation (GGA-PBE) on a geometry-optimized LiCd2Tc structure.

a = 4.9505 Å, b = 4.9505 Å, c = 5.5194 Å
α = 84.70°, β = 84.70°, γ = 31.74°
Sites, in units of the cell vectors:
Cd1 0.9966 0.9966 0.0025
Cd2 0.5034 0.5034 0.4975
Li1 0.7500 0.7500 0.7500
Tc1 0.2500 0.2500 0.2500

Results
M_tot	0.00	μB per formula unit



Version ii
VASP calculation (GGA-PBE) on a geometry-optimized LiCd2Tc structure.

a = 4.1882 Å, b = 2.7993 Å, c = 6.6241 Å
α = 64.61°, β = 90.00°, γ = 90.00°
Sites, in units of the cell vectors:
Cd1 0.0000 0.0017 0.9968
Cd2 0.0000 0.4983 0.5032
Li1 0.5000 0.2500 0.2500
Tc1 0.5000 0.7500 0.7500

Results
M_tot	0.00	μB per formula unit



Ranked by calculated energy, most stable first: version ii, version i.



Version i
VASP calculation (GGA-PBE) on a geometry-optimized LiCdTc structure.

a = 5.0610 Å, b = 5.0610 Å, c = 5.0610 Å
α = 149.99°, β = 129.88°, γ = 59.53°
Site moments in Bohr magnetons follow the coordinates.
Sites, in units of the cell vectors:
Cd1 0.0020 0.0020 0.0000  0.00
Li1 0.6664 0.6664 0.0000  0.00
Tc1 0.3316 0.3316 0.0000  0.59

Results
M_tot	0.66	μB per formula unit



Version ii
VASP calculation (GGA-PBE) on a geometry-optimized LiCdTc structure.

a = 7.4906 Å, b = 7.3190 Å, c = 2.7082 Å
α = 83.06°, β = 75.91°, γ = 21.03°
Sites, in units of the cell vectors:
Cd1 0.9999 0.9999 0.0001
Li1 0.3268 0.3268 0.6732
Tc1 0.6732 0.6732 0.3268

Results
M_tot	0.00	μB per formula unit



Ranked by calculated energy, most stable first: version ii, version i.